First-principles (PBE+U) data for crystalline Li4FeOF4 at its relaxed geometry, as listed in Alexandria via LeMat-Bulk.

Cell and atoms, written as extended XYZ:
```
10
Lattice="4.0070 0.0000 0.0000 2.0035 4.8036 0.0000 2.0035 0.0000 4.8036" Properties=species:S:1:pos:R:3 pbc="T T T"
Li 6.0105 3.8302 1.7906
Li 4.0070 3.0129 3.8302
Li 4.0070 1.7906 0.9734
Li 2.0035 0.9734 3.0129
F 4.0070 0.9946 2.8398
F 4.0070 3.8090 1.9638
F 6.0105 2.8398 3.8090
F 2.0035 1.9638 0.9946
Fe 2.0035 0.0000 0.0000
O 0.0000 0.0000 0.0000
```

Its density of states at the Fermi level is 0.1 states/eV/cell. The calculation puts the total energy at -5.029 eV per atom. The total magnetization comes out at 4.0 μB/f.u.